[1]
Entry from the Alexandria database: crystalline Tl2ZnBiBr at its relaxed geometry (PBE).

The formation energy without anion corrections is 183 meV/atom. The value obtained for the density of states at the Fermi level is 1.04 states/eV/atom. As for the theoretical density: 8060 kg/m³.

The structure belongs to space group P4/mmm (No. 123); the cell edges are 5.4253, 5.4253 and 5.3409 Å and the angles 90.00°, 90.00° and 90.00°. The inequivalent atoms are Tl at (0.0000, 0.5000, 0.0000), Zn at (0.0000, 0.0000, 0.0000), Bi at (0.5000, 0.5000, 0.5000) and Br at (0.0000, 0.0000, 0.5000).

---

[2]
Entry from the Alexandria database: crystalline TbPmDy2Sc at its relaxed geometry (PBE).

The calculation puts the formation energy at 0.360 eV per atom. The value obtained for the density of states at the Fermi level is 1.62 states/eV/atom. As for the theoretical density: 6955 kg/m³.

The structure belongs to space group Cmcm (No. 63); the cell edges are 6.3588, 15.9232 and 6.3562 Å and the angles 90.00°, 90.00° and 90.00°. The inequivalent atoms are Tb at (0.0000, 0.2500, 0.2500), Pm at (0.0000, 0.1618, 0.7500), Dy at (0.2487, 0.5000, 0.0000) and Sc at (0.0000, 0.3466, 0.7500).

---

[3]
Entry from the Alexandria database: crystalline KCd12Hg4 at its relaxed geometry (PBE).

The calculation puts the formation energy at 0.074 eV per atom. The value obtained for the density of states at the Fermi level is 0.31 states/eV/atom. As for the theoretical density: 7219 kg/m³.

The structure belongs to space group Im-3 (No. 204); the cell edges are 10.0255, 10.0255 and 10.0255 Å and the angles 90.00°, 90.00° and 90.00°. The inequivalent atoms are K at (0.0000, 0.0000, 0.0000), Cd at (0.0000, 0.3546, 0.1483) and Hg at (0.2500, 0.2500, 0.2500).

---

[4]
Entry from the Alexandria database: crystalline CoTc2Hg at its relaxed geometry (PBE).

The calculation puts the formation energy at 0.466 eV per atom. The value obtained for the density of states at the Fermi level is 1.24 states/eV/atom. As for the theoretical density: 12338 kg/m³.

The structure belongs to space group Cm (No. 8); the cell edges are 8.9981, 2.8227 and 4.9133 Å and the angles 90.00°, 100.72° and 90.00°. The inequivalent atoms are Co at (0.0000, 0.0000, 0.0000), Tc at (0.2351, 0.5000, 0.2333), Tc at (0.4826, 0.0000, 0.4199) and Hg at (0.2441, 0.0000, 0.7394).

---

[5]
Entry from the Alexandria database: crystalline YBi2As2 at its relaxed geometry (PBE).

The calculation puts the formation energy at -0.380 eV per atom. The value obtained for the density of states at the Fermi level is 0.41 states/eV/atom. As for the theoretical density: 8027 kg/m³.

The structure belongs to space group P4/mbm (No. 127); the cell edges are 7.9649, 7.9649 and 4.2827 Å and the angles 90.00°, 90.00° and 90.00°. The inequivalent atoms are Y at (0.0000, 0.0000, 0.0000), Bi at (0.1644, 0.3356, 0.5000) and As at (0.1683, 0.6683, 0.0000).

---

[6]
Entry from the Alexandria database: crystalline MgCrNi2 at its relaxed geometry (PBE).

The calculation puts the formation energy at 0.285 eV per atom. The value obtained for the density of states at the Fermi level is 0.29 states/eV/atom. As for the theoretical density: 6513 kg/m³.

The structure belongs to space group F-43m (No. 216); the cell edges are 5.8238, 5.8238 and 5.8238 Å and the angles 90.00°, 90.00° and 90.00°. The inequivalent atoms are Mg at (0.0000, 0.0000, 0.0000), Cr at (0.2500, 0.2500, 0.7500), Ni at (0.0000, 0.0000, 0.5000) and Ni at (0.2500, 0.2500, 0.2500).